Nd6Sm3Tm | GGA-PBE | relaxed

energy above the most stable polymorph in this dataset = 79.6 meV per atom
space-group type = C2/m, No. 12
calculated density = 7.08 g cm⁻³
formation enthalpy at 0 K = 0.22 eV/atom
V = 348.4 Å³/cell
E_tot = -45.1 eV per cell

Geometry as extended XYZ:
```
10
Lattice="6.393 0.000 -2.595 -0.728 8.989 -1.793 -1.045 -0.482 6.599" Properties=species:S:1:pos:R:3 pbc="T T T"
Sm 4.790 2.563 2.629
Nd 1.558 0.377 3.839
Tm 2.833 4.494 -2.194
Nd 3.062 8.129 -1.628
Sm -0.170 5.943 -0.418
Nd 2.503 5.984 1.362
Nd -0.846 5.984 2.721
Nd 2.118 2.523 0.849
Sm 0.000 0.000 0.000
Nd 5.466 2.523 -0.510
```